Compound: Tb2CePm
Source: the Alexandria database
Functional: PBE
Structure: relaxed

Summary:
The formation energy is 0.051 eV/atom. Its volume is 127 Å³ per cell. The density of states at the Fermi level comes out at 7.90 states/eV/f.u. Its uncorrected energy is -4.935 eV per atom.

Unit cell a=3.569 b=3.569 c=11.724 alpha=81.24 beta=81.24 gamma=60.00
Site moments in Bohr magnetons follow the coordinates.
Atoms (fractional coordinates):
Tb 0.081 0.081 0.757  -0.01
Tb 0.252 0.252 0.244  0.00
Ce 0.667 0.667 0.000  0.45
Pm 0.500 0.500 0.499  0.00


Compound: Tb5CePm4
Source: the Alexandria database
Functional: PBE
Structure: relaxed

Summary:
The formation energy is 0.251 eV/atom. Its volume is 341 Å³ per cell. The density of states at the Fermi level comes out at 20.29 states/eV/f.u. Its uncorrected energy is -4.558 eV per atom.

Unit cell a=5.849 b=11.878 c=8.310 alpha=136.57 beta=110.61 gamma=90.00
Site moments in Bohr magnetons follow the coordinates.
Atoms (fractional coordinates):
Tb 0.845 0.420 0.691  0.01
Tb 0.848 0.760 0.696  0.06
Tb 0.152 0.240 0.304  0.06
Tb 0.500 0.500 0.000  -0.02
Tb 0.155 0.580 0.309  0.01
Ce 0.500 0.000 0.000  0.63
Pm 0.430 0.683 0.861  0.04
Pm 0.166 0.940 0.333  0.01
Pm 0.570 0.317 0.139  0.04
Pm 0.834 0.060 0.667  0.01


Compound: Tb8CePm6
Source: the Alexandria database
Functional: PBE
Structure: relaxed

Summary:
The formation energy is 0.124 eV/atom. Its volume is 500 Å³ per cell. The density of states at the Fermi level comes out at 25.56 states/eV/f.u. Its uncorrected energy is -4.641 eV per atom.

Unit cell a=8.707 b=8.707 c=8.707 alpha=63.17 beta=63.17 gamma=63.17
Site moments in Bohr magnetons follow the coordinates.
Atoms (fractional coordinates):
Tb 0.113 0.716 0.752  0.03
Tb 0.248 0.887 0.284  0.03
Tb 0.284 0.248 0.887  0.03
Tb 0.577 0.577 0.577  -0.02
Tb 0.423 0.423 0.423  -0.02
Tb 0.716 0.752 0.113  0.03
Tb 0.752 0.113 0.716  0.03
Tb 0.887 0.284 0.248  0.03
Ce 0.000 0.000 0.000  0.65
Pm 0.896 0.460 0.771  0.02
Pm 0.229 0.104 0.540  0.02
Pm 0.540 0.229 0.104  0.02
Pm 0.460 0.771 0.896  0.02
Pm 0.771 0.896 0.460  0.02
Pm 0.104 0.540 0.229  0.02


Compound: TbCe2Pm
Source: the Alexandria database
Functional: PBE
Structure: relaxed

Summary:
The formation energy is 0.264 eV/atom. Its volume is 130 Å³ per cell. The density of states at the Fermi level comes out at 17.34 states/eV/f.u. Its uncorrected energy is -5.048 eV per atom.

Unit cell a=5.681 b=5.681 c=5.681 alpha=60.00 beta=60.00 gamma=60.00
Site moments in Bohr magnetons follow the coordinates.
Atoms (fractional coordinates):
Tb 0.000 0.000 0.000  0.17
Ce 0.250 0.250 0.250  0.86
Ce 0.750 0.750 0.750  0.86
Pm 0.500 0.500 0.500  0.17


Compound: TbCePm4
Source: the Alexandria database
Functional: PBE
Structure: relaxed

Summary:
The formation energy is 0.213 eV/atom. Its volume is 203 Å³ per cell. The density of states at the Fermi level comes out at 14.51 states/eV/f.u. Its uncorrected energy is -4.715 eV per atom.

Unit cell a=3.433 b=6.072 c=11.628 alpha=118.11 beta=90.00 gamma=106.42
Site moments in Bohr magnetons follow the coordinates.
Atoms (fractional coordinates):
Tb 0.000 0.000 0.500  0.00
Ce 0.500 0.000 0.000  0.81
Pm 0.156 0.312 0.845  0.04
Pm 0.844 0.688 0.155  0.04
Pm 0.658 0.315 0.342  0.02
Pm 0.342 0.685 0.658  0.02


Compound: TbCePm6
Source: the Alexandria database
Functional: PBE
Structure: relaxed

Summary:
The formation energy is 0.048 eV/atom. Its volume is 269 Å³ per cell. The density of states at the Fermi level comes out at 15.08 states/eV/f.u. Its uncorrected energy is -4.836 eV per atom.

Unit cell a=5.124 b=5.124 c=10.247 alpha=90.00 beta=90.00 gamma=90.00
Site moments in Bohr magnetons follow the coordinates.
Atoms (fractional coordinates):
Tb 0.000 0.000 0.000  -0.03
Ce 0.000 0.000 0.500  0.75
Pm 0.500 0.500 0.000  -0.02
Pm 0.500 0.500 0.500  0.02
Pm 0.500 0.000 0.252  0.01
Pm 0.500 0.000 0.748  0.01
Pm 0.000 0.500 0.252  0.01
Pm 0.000 0.500 0.748  0.01


Compound: Tb5CePm2
Source: the Alexandria database
Functional: PBE
Structure: relaxed

Summary:
The formation energy is 0.043 eV/atom. Its volume is 519 Å³ per cell. The density of states at the Fermi level comes out at 13.23 states/eV/f.u. Its uncorrected energy is -4.781 eV per atom.

Unit cell a=5.067 b=7.157 c=14.325 alpha=90.00 beta=90.00 gamma=90.00
Site moments in Bohr magnetons follow the coordinates.
Atoms (fractional coordinates):
Tb 0.000 0.000 0.000  0.00
Tb 0.000 0.500 0.500  0.00
Tb 0.000 0.502 0.750  -0.01
Tb 0.000 0.498 0.250  -0.01
Tb 0.000 0.998 0.250  -0.01
Tb 0.000 0.002 0.750  -0.01
Tb 0.500 0.255 0.876  0.02
Tb 0.500 0.745 0.124  0.02
Tb 0.500 0.245 0.376  0.02
Tb 0.500 0.755 0.624  0.02
Ce 0.000 0.000 0.500  0.73
Ce 0.000 0.500 0.000  0.73
Pm 0.500 0.247 0.624  0.01
Pm 0.500 0.753 0.376  0.01
Pm 0.500 0.253 0.124  0.01
Pm 0.500 0.747 0.876  0.01


Compound: TbCe2Pm
Source: the Alexandria database
Functional: PBE
Structure: relaxed

Summary:
The formation energy is 0.101 eV/atom. Its volume is 124 Å³ per cell. The density of states at the Fermi level comes out at 10.63 states/eV/f.u. Its uncorrected energy is -5.211 eV per atom.

Unit cell a=3.506 b=3.506 c=11.819 alpha=81.47 beta=81.47 gamma=60.00
Site moments in Bohr magnetons follow the coordinates.
Atoms (fractional coordinates):
Tb 0.500 0.500 0.500  0.01
Ce 0.751 0.751 0.748  0.63
Ce 0.249 0.249 0.252  0.63
Pm 0.000 0.000 0.000  0.01